# 1
Material: NaCaCdAg
Method: DFT, GGA-PBE
State: optimized geometry

Geometry as extended XYZ:
```
4
Lattice="0.0000 3.7294 3.7294 3.7294 0.0000 3.7294 3.7294 3.7294 0.0000" Properties=species:S:1:pos:R:3 pbc="T T T"
Na 0.0000 0.0000 0.0000
Ca 3.7294 3.7294 3.7294
Cd 5.5941 5.5941 5.5941
Ag 1.8647 1.8647 1.8647
```

Properties
ΔH_f (0 K) (eV per formula unit): -0.60
Total magnetization (μB per formula unit): 0.0

=====

# 2
Material: BaSrGeN2
Method: DFT, GGA-PBE
State: optimized geometry

Geometry as extended XYZ:
```
10
Lattice="5.5813 0.0000 0.0000 0.0000 6.0122 0.0000 0.0000 0.0000 7.4114" Properties=species:S:1:pos:R:3 pbc="T T T"
Ba 0.0000 0.0000 1.8528
Ba 0.0000 0.0000 5.5585
Sr 2.7907 3.0061 1.8528
Sr 2.7907 3.0061 5.5585
Ge 0.0000 3.0061 0.0000
Ge 0.0000 3.0061 3.7057
N 1.3357 1.7222 0.0000
N 1.3357 4.2900 3.7057
N 4.2456 1.7222 3.7057
N 4.2456 4.2900 0.0000
```

Properties
Uncorrected formation energy (meV per atom): -153
Total magnetization (μB per formula unit): 1.2

=====

# 3
Material: As2P
Method: DFT, GGA-PBE
State: optimized geometry

Geometry as extended XYZ:
```
3
Lattice="-1.7486 1.7486 5.0792 1.7486 -1.7486 5.0792 1.7486 1.7486 -5.0792" Properties=species:S:1:pos:R:3 pbc="T T T"
As 0.0000 0.0000 1.2020
As 0.0000 0.0000 8.9563
P 0.0000 0.0000 5.0792
```

Properties
ΔH_f (0 K) (eV per formula unit): 1.38
Total magnetization (μB per formula unit): 0.0

=====

Looking at N(E_F) for the records above, in order, we have 0.66, 0.96, 0.46 states/eV/atom.
Looking at E for the records above, in order, we have -0.071, -0.188, -0.163 hartree per atom.